## K3HgI6 (PBE)

Data for a relaxed structure of K3HgI6.

Results
- Fermi-level density of states (states/eV/f.u.) = 1.863
- E_form (uncorrected) (eV/f.u.) = -9.44

a = 6.9320 Å, b = 12.2519 Å, c = 12.2519 Å
α = 105.10°, β = 90.00°, γ = 90.00°
Atoms (fractional coordinates):
K 0.4567 0.3014 0.0658
I 0.1879 0.1154 0.5691
I 0.1978 0.6644 0.6577
I 0.1879 0.4309 0.8846
Hg 0.5515 0.7961 0.2039
K 0.4567 0.9342 0.6986
I 0.6978 0.6577 0.6644
K 0.4364 0.3808 0.6192
I 0.6879 0.5691 0.1154
Hg 0.0515 0.2039 0.7961
I 0.6465 0.2118 0.7882
I 0.1661 0.0636 0.9364
K 0.9567 0.0658 0.3014
I 0.6661 0.9364 0.0636
K 0.9567 0.6986 0.9342
I 0.1465 0.7882 0.2118
I 0.6978 0.3356 0.3423
K 0.9364 0.6192 0.3808
I 0.6879 0.8846 0.4309
I 0.1978 0.3423 0.3356

---

## K2Hg2I5 (PBE)

Data for a relaxed structure of K2Hg2I5.

Results
- Fermi-level density of states (states/eV/f.u.) = 1.369
- E_form (uncorrected) (eV/f.u.) = -6.78
- excess energy over the best structure of this formula in the dataset (meV per atom) = 2

a = 6.0845 Å, b = 8.7389 Å, c = 8.8773 Å
α = 114.40°, β = 90.00°, γ = 110.37°
Atoms (fractional coordinates):
Hg 0.1301 0.2602 0.8442
I 0.0000 0.0000 0.0000
I 0.3602 0.7204 0.1089
I 0.6398 0.2796 0.8911
K 0.6102 0.2205 0.2876
I 0.8514 0.7027 0.4693
I 0.1486 0.2973 0.5307
Hg 0.8699 0.7398 0.1558
K 0.3898 0.7795 0.7124

---

## KHgI (PBE)

Data for a relaxed structure of KHgI.

Results
- Fermi-level density of states (states/eV/f.u.) = 0.000
- E_form (uncorrected) (eV/f.u.) = -2.61
- excess energy over the best structure of this formula in the dataset (meV per atom) = 64

a = 4.8855 Å, b = 4.8855 Å, c = 8.2966 Å
α = 107.12°, β = 107.12°, γ = 90.00°
Atoms (fractional coordinates):
K 0.3752 0.3752 0.7504
I 0.8586 0.8586 0.7173
Hg 0.6162 0.6162 0.2324

---

## KHgI (PBE)

Data for a relaxed structure of KHgI.

Results
- Fermi-level density of states (states/eV/f.u.) = 0.000
- E_form (uncorrected) (eV/f.u.) = -2.55
- excess energy over the best structure of this formula in the dataset (meV per atom) = 82

a = 5.5848 Å, b = 5.3552 Å, c = 5.3552 Å
α = 120.00°, β = 90.00°, γ = 90.00°
Atoms (fractional coordinates):
K 0.3587 0.3333 0.6667
Hg 0.0053 0.0000 0.0000
I 0.6360 0.6667 0.3333

---

## KHgI3 (PBE)

Data for a relaxed structure of KHgI3.

Results
- Fermi-level density of states (states/eV/f.u.) = 0.000
- E_form (uncorrected) (eV/f.u.) = -3.75
- excess energy over the best structure of this formula in the dataset (meV per atom) = 19

a = 5.5880 Å, b = 9.2289 Å, c = 9.2313 Å
α = 73.33°, β = 89.84°, γ = 89.84°
Atoms (fractional coordinates):
Hg 0.7422 0.6418 0.7015
Hg 0.7429 0.2626 0.0806
I 0.9994 0.0127 0.0551
I 0.4856 0.2880 0.3304
I 0.4852 0.8916 0.7272
K 0.5250 0.7233 0.1623
I 0.9987 0.5579 0.9968
K 0.9595 0.1811 0.6200
I 0.4860 0.3466 0.7855
I 0.9990 0.6164 0.4517

---

## K2HgI (PBE)

Data for a relaxed structure of K2HgI.

Results
- Fermi-level density of states (states/eV/f.u.) = 1.589
- E_form (uncorrected) (eV/f.u.) = -3.14
- excess energy over the best structure of this formula in the dataset (meV per atom) = 0

a = 4.3489 Å, b = 4.3489 Å, c = 8.3200 Å
α = 90.00°, β = 90.00°, γ = 90.00°
Atoms (fractional coordinates):
K 0.0000 0.0000 0.2529
I 0.5000 0.5000 0.5000
K 0.0000 0.0000 0.7471
Hg 0.5000 0.5000 0.0000

---

## K2Hg2I (PBE)

Data for a relaxed structure of K2Hg2I.

Results
- Fermi-level density of states (states/eV/f.u.) = 1.569
- E_form (uncorrected) (eV/f.u.) = -3.39
- excess energy over the best structure of this formula in the dataset (meV per atom) = 0

a = 4.4211 Å, b = 4.4211 Å, c = 10.4248 Å
α = 77.76°, β = 77.76°, γ = 90.00°
Atoms (fractional coordinates):
K 0.3967 0.3967 0.2066
K 0.6033 0.6033 0.7934
Hg 0.7500 0.2500 0.5000
I 0.0000 0.0000 0.0000
Hg 0.2500 0.7500 0.5000

---

## K3HgI (PBE)

Data for a relaxed structure of K3HgI.

Results
- Fermi-level density of states (states/eV/f.u.) = 2.397
- E_form (uncorrected) (eV/f.u.) = -2.40
- excess energy over the best structure of this formula in the dataset (meV per atom) = 0

a = 6.7943 Å, b = 6.7943 Å, c = 6.7943 Å
α = 90.00°, β = 90.00°, γ = 90.00°
Atoms (fractional coordinates):
K 0.0000 0.5000 0.0000
K 0.0000 0.0000 0.5000
Hg 0.5000 0.5000 0.5000
K 0.5000 0.0000 0.0000
I 0.0000 0.0000 0.0000

---

## KHgI3 (PBE)

Data for a relaxed structure of KHgI3.

Results
- Fermi-level density of states (states/eV/f.u.) = 1.160
- E_form (uncorrected) (eV/f.u.) = -3.25
- excess energy over the best structure of this formula in the dataset (meV per atom) = 121

a = 6.0195 Å, b = 6.0195 Å, c = 6.0195 Å
α = 90.00°, β = 90.00°, γ = 90.00°
Atoms (fractional coordinates):
I 0.0000 0.5000 0.0000
K 0.5000 0.5000 0.5000
I 0.5000 0.0000 0.0000
Hg 0.0000 0.0000 0.0000
I 0.0000 0.0000 0.5000

---

## K4HgI6 (PBE)

Data for a relaxed structure of K4HgI6.

Results
- Fermi-level density of states (states/eV/f.u.) = 0.000
- E_form (uncorrected) (eV/f.u.) = -12.42

a = 8.9799 Å, b = 9.5133 Å, c = 16.2120 Å
α = 77.36°, β = 73.92°, γ = 61.84°
Atoms (fractional coordinates):
I 0.9958 0.1401 0.2587
I 0.9360 0.6114 0.9341
I 0.6792 0.7773 0.2231
K 0.3406 0.9527 0.6363
K 0.4581 0.7776 0.9593
K 0.8049 0.2776 0.4593
K 0.9953 0.6452 0.6547
I 0.6053 0.6401 0.7587
I 0.4173 0.1477 0.9984
Hg 0.6713 0.7895 0.4003
I 0.4006 0.5322 0.1382
I 0.9939 0.5655 0.4430
I 0.9976 0.0655 0.9430
K 0.7048 0.1452 0.1547
K 0.2726 0.7468 0.3080
I 0.3204 0.2773 0.7231
I 0.4367 0.6477 0.4984
K 0.0704 0.4527 0.1363
K 0.6726 0.2468 0.8080
Hg 0.1388 0.2895 0.9003
I 0.9289 0.0322 0.6382
I 0.5184 0.1114 0.4341

---

## KHg3I (PBE)

Data for a relaxed structure of KHg3I.

Results
- Fermi-level density of states (states/eV/f.u.) = 0.000
- E_form (uncorrected) (eV/f.u.) = -0.40
- excess energy over the best structure of this formula in the dataset (meV per atom) = 74

a = 7.0215 Å, b = 7.0215 Å, c = 7.0215 Å
α = 90.00°, β = 90.00°, γ = 90.00°
Atoms (fractional coordinates):
Hg 0.0000 0.0000 0.5000
Hg 0.0000 0.5000 0.0000
Hg 0.5000 0.0000 0.0000
I 0.0000 0.0000 0.0000
K 0.5000 0.5000 0.5000

---

## K2Hg2I (PBE)

Data for a relaxed structure of K2Hg2I.

Results
- Fermi-level density of states (states/eV/f.u.) = 4.669
- E_form (uncorrected) (eV/f.u.) = -2.29
- excess energy over the best structure of this formula in the dataset (meV per atom) = 220

a = 6.5374 Å, b = 6.5374 Å, c = 7.0402 Å
α = 62.34°, β = 62.34°, γ = 90.00°
Atoms (fractional coordinates):
Hg 0.3617 0.3617 0.2766
Hg 0.6383 0.6383 0.7234
K 0.7500 0.2500 0.5000
I 0.0000 0.0000 0.0000
K 0.2500 0.7500 0.5000

---

- Which of these has the lowest E_form (uncorrected)?
  K4HgI6

---

- What is the E_form (uncorrected) in the first record?
  -9.44 eV/f.u.

---

Repeat the ninth record exactly.
## KHgI3 (PBE)

Data for a relaxed structure of KHgI3.

Results
- Fermi-level density of states (states/eV/f.u.) = 1.160
- E_form (uncorrected) (eV/f.u.) = -3.25
- excess energy over the best structure of this formula in the dataset (meV per atom) = 121

a = 6.0195 Å, b = 6.0195 Å, c = 6.0195 Å
α = 90.00°, β = 90.00°, γ = 90.00°
Atoms (fractional coordinates):
I 0.0000 0.5000 0.0000
K 0.5000 0.5000 0.5000
I 0.5000 0.0000 0.0000
Hg 0.0000 0.0000 0.0000
I 0.0000 0.0000 0.5000